# IrPb4Se

IrPb4Se after structural relaxation (PBE, Alexandria).

Results
- DOS(E_F) (states/eV/f.u.) = 4.33
- total magnetization (μB per cell) = 0.00
- crystal system = cubic
- formation energy from raw total energies (eV/atom) = 0.83
- raw total energy (eV/cell) = -88.8

Cell and atoms, written as CIF:
```
data_IrPb4Se
_cell_length_a 8.7976
_cell_length_b 8.7976
_cell_length_c 8.7976
_cell_angle_alpha 90.00
_cell_angle_beta 90.00
_cell_angle_gamma 90.00
_symmetry_space_group_name_H-M 'F -4 3 m'
_symmetry_Int_Tables_number 216
_symmetry_space_group_name_Hall 'F -4 2 3'
loop_
_atom_site_label
_atom_site_type_symbol
_atom_site_fract_x
_atom_site_fract_y
_atom_site_fract_z
Ir1 Ir 0.0000 0.0000 0.0000
Pb1 Pb 0.1257 0.1257 0.6257
Se1 Se 0.2500 0.2500 0.2500
```